1.
GGA-PBE Cd2In6Sn, relaxed; V = 27.43 A^3/atom; M_tot = 0.0 μB per formula unit; ΔH_f (0 K) = 0.0495 eV per atom; DOS at the Fermi energy = 3.90 states/eV per cell
1.0
4.322 0.000 0.000
0.000 8.153 0.000
0.000 -4.076 7.005
Cd In Sn
2 6 1
Cartesian
0.000 -0.004 4.642
0.000 4.072 2.364
2.161 4.861 0.000
0.000 2.225 0.000
2.161 -2.426 4.187
0.000 7.029 1.861
0.000 2.953 5.145
2.161 1.650 2.818
2.161 0.023 0.000

---

2.
GGA-PBE Cd7In3Sn2, relaxed; V = 25.51 A^3/atom; M_tot = 0.0 μB per formula unit; ΔH_f (0 K) = 0.0486 eV per atom; DOS at the Fermi energy = 4.41 states/eV per cell
1.0
-2.309 -1.585 1.408
1.968 -4.884 -2.270
10.477 -3.713 13.003
Sn Cd In
2 7 3
Cartesian
6.506 -4.364 9.245
3.632 -5.818 2.896
0.000 0.000 0.000
4.714 -3.903 6.826
5.423 -6.279 5.314
9.484 -8.287 9.714
9.602 -5.127 9.976
2.844 -3.470 0.757
0.653 -1.895 2.426
4.171 -2.659 3.848
8.274 -5.939 6.885
-0.170 -3.234 -0.431

---

3.
GGA-PBE CdIn12Sn6, relaxed; V = 28.26 A^3/atom; M_tot = 0.0 μB per formula unit; ΔH_f (0 K) = 0.0756 eV per atom; DOS at the Fermi energy = 11.48 states/eV per cell
1.0
0.479 2.118 8.681
7.543 -2.103 4.331
5.433 6.731 2.292
Sn In Cd
6 12 1
Cartesian
4.282 3.926 3.141
8.237 6.745 11.255
5.218 0.001 4.048
2.080 1.878 5.980
11.376 4.868 9.323
9.173 2.820 12.162
6.778 2.765 4.975
7.032 6.133 5.448
8.344 5.528 8.181
8.397 0.366 6.790
6.677 3.981 10.328
5.112 1.218 7.122
6.423 0.612 9.855
3.789 3.136 9.621
9.666 3.610 5.682
5.058 6.379 8.513
9.050 2.560 8.868
4.405 4.186 6.435
0.000 0.000 0.000

---

4.
GGA-PBE Cd5In5Sn, relaxed; V = 26.64 A^3/atom; M_tot = 0.0 μB per formula unit; ΔH_f (0 K) = 0.0758 eV per atom; DOS at the Fermi energy = 2.52 states/eV per cell
1.0
5.571 0.000 0.000
-2.786 4.825 0.000
0.000 0.000 10.903
In Cd Sn
5 5 1
Cartesian
0.000 3.216 7.519
0.000 0.000 0.000
2.786 1.608 1.736
0.000 3.216 3.384
2.786 1.608 9.167
0.000 0.000 2.863
1.411 0.815 5.451
4.160 0.815 5.451
0.000 0.000 8.040
2.786 3.195 5.451
0.000 3.216 0.000

---

5.
GGA-PBE Cd3InSn, relaxed; V = 26.79 A^3/atom; M_tot = 0.0 μB per formula unit; ΔH_f (0 K) = 0.0955 eV per atom; DOS at the Fermi energy = 3.81 states/eV per cell
1.0
-2.446 -5.825 -1.624
5.424 -3.589 0.505
-0.920 -2.450 5.975
Cd Sn In
6 2 2
Cartesian
1.671 -6.031 5.262
-1.204 -7.780 2.208
3.674 -4.367 2.691
3.216 -7.418 1.219
0.205 -6.285 -0.523
-1.225 -4.644 4.093
1.981 -11.417 4.673
0.952 -5.485 2.245
1.482 -8.541 3.496
0.453 -2.609 1.068

---

6.
GGA-PBE Cd2In3Sn3, relaxed; V = 26.41 A^3/atom; M_tot = 0.0 μB per formula unit; ΔH_f (0 K) = 0.0475 eV per atom; DOS at the Fermi energy = 3.40 states/eV per cell
1.0
-0.008 -1.976 4.115
2.398 -3.597 -1.907
9.848 1.271 3.334
Sn Cd In
3 2 3
Cartesian
0.000 0.000 0.000
8.816 -1.637 1.810
3.422 -2.665 3.733
5.532 -0.768 2.216
6.706 -3.534 3.326
7.638 -0.803 4.842
4.601 -3.499 0.701
1.195 -2.787 1.104

---

7.
GGA-PBE Cd3In6Sn, relaxed; V = 26.25 A^3/atom; M_tot = 0.0 μB per formula unit; ΔH_f (0 K) = 0.0346 eV per atom; DOS at the Fermi energy = 7.16 states/eV per cell
1.0
3.190 0.000 0.000
0.000 11.908 -1.939
0.000 -0.413 13.888
Sn In Cd
2 12 6
Cartesian
0.798 11.192 2.325
2.393 0.304 9.624
2.393 8.270 2.768
0.798 1.933 12.222
0.798 7.674 11.091
0.798 2.329 3.542
0.798 10.092 5.426
0.798 5.452 3.311
2.393 3.821 0.858
2.393 1.403 6.524
2.393 9.166 8.407
2.393 9.563 -0.272
2.393 6.043 8.639
0.798 3.226 9.182
0.798 6.658 0.243
2.393 4.838 11.706
2.393 7.168 5.743
0.798 4.327 6.207
2.393 0.688 1.186
0.798 10.808 10.763

---

8.
GGA-PBE CdIn2Sn3, relaxed; V = 26.95 A^3/atom; M_tot = 0.0 μB per formula unit; ΔH_f (0 K) = 0.0534 eV per atom; DOS at the Fermi energy = 6.08 states/eV per cell
1.0
-1.189 -2.509 5.107
-6.627 -4.999 -3.282
-0.682 -8.197 -3.468
Sn In Cd
6 4 2
Cartesian
-3.217 -7.621 -2.121
-1.510 -4.754 3.558
-2.365 -2.720 1.050
-6.988 -10.951 -5.201
-5.281 -8.084 0.478
-6.133 -12.985 -2.693
-2.389 -6.254 0.782
-5.231 -11.497 0.083
-3.267 -4.208 -1.726
-6.108 -9.451 -2.425
-6.175 -6.030 -2.029
-2.323 -9.675 0.386

---

9.
GGA-PBE Cd5In6Sn, relaxed; V = 25.45 A^3/atom; M_tot = 0.0 μB per formula unit; ΔH_f (0 K) = 0.0375 eV per atom; DOS at the Fermi energy = 5.11 states/eV per cell
1.0
4.545 0.013 -1.307
-3.003 7.857 -1.984
0.074 -0.315 8.636
In Cd Sn
6 5 1
Cartesian
-0.106 3.274 -0.436
0.926 0.532 3.128
-1.074 5.597 4.618
1.722 4.280 5.781
2.689 1.958 0.727
0.690 7.022 2.217
-0.943 2.385 5.127
-0.215 6.492 -0.857
0.808 3.777 2.672
1.830 1.062 6.201
2.558 5.169 0.217
0.000 0.000 0.000

---

ΔH_f (0 K) of number 9 (Cd5In6Sn)?
0.0375 eV per atom

---

What is the V in the eighth record?
26.95 A^3/atom

---

Look up the ΔH_f (0 K) of the first one.
0.0495 eV per atom